# DyTmNO, relaxed, DFT PBE
# - energy (eV/atom) = -7.449
# - excess energy over the best structure of this formula in the dataset (eV per atom) = 0.481
data_DyTmNO
_space_group_name_H-M_alt 'P 4/n m m'
_space_group_IT_number 129
_cell_length_a 4.3484
_cell_length_b 4.3484
_cell_length_c 7.8326
_cell_angle_alpha 90.00
_cell_angle_beta 90.00
_cell_angle_gamma 90.00
loop_
_space_group_symop_operation_xyz
'x,y,z'
'-x,-y,-z'
'-y+1/2,x,z'
'y+1/2,-x,-z'
'-x+1/2,-y+1/2,z'
'x+1/2,y+1/2,-z'
'y,-x+1/2,z'
'-y,x+1/2,-z'
'x+1/2,-y,-z'
'-x+1/2,y,z'
'-y,-x,-z'
'y,x,z'
'-x,y+1/2,-z'
'x,-y+1/2,z'
'y+1/2,x+1/2,-z'
'-y+1/2,-x+1/2,z'
loop_
_atom_site_label
_atom_site_type_symbol
_atom_site_fract_x
_atom_site_fract_y
_atom_site_fract_z
Dy1 Dy 0.2500 0.2500 0.0950
Tm1 Tm 0.2500 0.7500 0.5000
N1 N 0.2500 0.2500 0.5758
O1 O 0.2500 0.7500 0.0000